Entry 1:
The following is a DFT calculation (PBE-GGA) of CrPdSeN2 after structural relaxation.

CIF file:
```
data_CrPdSeN2
_cell_length_a 3.682
_cell_length_b 3.682
_cell_length_c 6.764
_cell_angle_alpha 90.00
_cell_angle_beta 90.00
_cell_angle_gamma 90.00
_space_group_name_H-M_alt 'P 4/m m m'
_space_group_IT_number 123
_space_group_name_Hall '-P 4 2'
loop_
_atom_site_label
_atom_site_fract_x
_atom_site_fract_y
_atom_site_fract_z
Cr1 0.000 0.000 0.000
Pd1 0.500 0.500 0.500
Se1 0.500 0.500 0.000
N1 0.000 0.500 0.500
```

Results
- ΔE to the lowest computed polymorph: 1.327 eV/atom

---

Entry 2:
The following is a DFT calculation (PBE-GGA) of Sr2VSb2 after structural relaxation.

CIF file:
```
data_Sr2VSb2
_cell_length_a 7.770
_cell_length_b 7.770
_cell_length_c 4.950
_cell_angle_alpha 90.00
_cell_angle_beta 90.00
_cell_angle_gamma 90.00
_space_group_name_H-M_alt 'P 4/m b m'
_space_group_IT_number 127
_space_group_name_Hall '-P 4 2ab'
loop_
_atom_site_label
_atom_site_fract_x
_atom_site_fract_y
_atom_site_fract_z
Sr1 0.162 0.338 0.000
V1 0.000 0.000 0.500
Sb1 0.151 0.651 0.500
```

---

Entry 3:
The following is a DFT calculation (PBE-GGA) of Ga5Cu2Ni12 after structural relaxation.

CIF file:
```
data_Ga5Cu2Ni12
_cell_length_a 11.251
_cell_length_b 6.799
_cell_length_c 6.020
_cell_angle_alpha 90.00
_cell_angle_beta 90.89
_cell_angle_gamma 90.00
_space_group_name_H-M_alt 'C 1 2/m 1'
_space_group_IT_number 12
_space_group_name_Hall '-C 2y'
loop_
_atom_site_label
_atom_site_fract_x
_atom_site_fract_y
_atom_site_fract_z
Ga1 0.000 0.000 0.000
Ga2 0.191 0.500 0.526
Ga3 0.240 0.000 0.929
Cu1 0.000 0.303 0.500
Ni1 0.059 0.500 0.181
Ni2 0.101 0.000 0.608
Ni3 0.113 0.295 0.861
Ni4 0.161 0.187 0.256
```

Results
- Formation energy: -2.63 eV per formula unit

---

Entry 4:
The following is a DFT calculation (PBE-GGA) of KTiPO5 after structural relaxation.

CIF file:
```
data_KTiPO5
_cell_length_a 12.984
_cell_length_b 6.490
_cell_length_c 10.700
_cell_angle_alpha 90.00
_cell_angle_beta 90.00
_cell_angle_gamma 90.00
_space_group_name_H-M_alt 'P n a 21'
_space_group_IT_number 33
_space_group_name_Hall 'P 2c -2n'
loop_
_atom_site_label
_atom_site_fract_x
_atom_site_fract_y
_atom_site_fract_z
K1 0.106 0.201 0.000
K2 0.124 0.780 0.745
Ti1 0.129 0.500 0.439
Ti2 0.245 0.765 0.189
P1 0.002 0.339 0.696
P2 0.180 0.004 0.447
O1 0.011 0.533 0.319
O2 0.014 0.489 0.586
O3 0.094 0.801 0.175
O4 0.098 0.201 0.716
O5 0.112 0.194 0.421
O6 0.112 0.814 0.476
O7 0.224 0.463 0.576
O8 0.224 0.548 0.324
O9 0.248 0.464 0.833
O10 0.248 0.539 0.063
```

Results
- ΔE to the lowest computed polymorph: 0.000 eV/atom

---

Entry 5:
The following is a DFT calculation (PBE-GGA) of AcDyMg after structural relaxation.

CIF file:
```
data_AcDyMg
_cell_length_a 5.6599
_cell_length_b 5.6599
_cell_length_c 3.6302
_cell_angle_alpha 90.00
_cell_angle_beta 90.00
_cell_angle_gamma 120.00
_space_group_name_H-M_alt 'P 3 m 1'
_space_group_IT_number 156
_space_group_name_Hall 'P 3 -2"'
loop_
_atom_site_label
_atom_site_fract_x
_atom_site_fract_y
_atom_site_fract_z
Ac1 0.0000 0.0000 0.0000
Dy1 0.3333 0.6667 0.5314
Mg1 0.6667 0.3333 0.4310
```

Results
- Formation energy: 0.22 eV per formula unit
- ΔE to the lowest computed polymorph: 0.087 eV/atom

---

Entry 6:
The following is a DFT calculation (PBE-GGA) of La2PrHo2Tm after structural relaxation.

CIF file:
```
data_La2PrHo2Tm
_cell_length_a 7.121
_cell_length_b 5.734
_cell_length_c 9.914
_cell_angle_alpha 90.00
_cell_angle_beta 90.00
_cell_angle_gamma 90.00
_space_group_name_H-M_alt 'P m m a'
_space_group_IT_number 51
_space_group_name_Hall '-P 2a 2a'
loop_
_atom_site_label
_atom_site_fract_x
_atom_site_fract_y
_atom_site_fract_z
La1 0.000 0.000 0.000
La2 0.250 0.500 0.181
Pr1 0.250 0.000 0.656
Ho1 0.250 0.000 0.333
Ho2 0.250 0.500 0.835
Tm1 0.000 0.500 0.500
```

Results
- Formation energy: 0.39 eV per formula unit

---

Entry 7:
The following is a DFT calculation (PBE-GGA) of EuNbO3 after structural relaxation.

CIF file:
```
data_EuNbO3
_cell_length_a 5.741
_cell_length_b 8.077
_cell_length_c 5.780
_cell_angle_alpha 90.00
_cell_angle_beta 90.00
_cell_angle_gamma 90.00
_space_group_name_H-M_alt 'I m m a'
_space_group_IT_number 74
_space_group_name_Hall '-I 2b 2'
loop_
_atom_site_label
_atom_site_fract_x
_atom_site_fract_y
_atom_site_fract_z
Eu1 0.000 0.250 0.010
Nb1 0.000 0.000 0.500
O1 0.000 0.250 0.572
O2 0.250 0.039 0.250
```

---

Entry 8:
The following is a DFT calculation (PBE-GGA) of Ac2Zn2Hg after structural relaxation.

CIF file:
```
data_Ac2Zn2Hg
_cell_length_a 7.726
_cell_length_b 7.726
_cell_length_c 4.755
_cell_angle_alpha 90.00
_cell_angle_beta 90.00
_cell_angle_gamma 90.00
_space_group_name_H-M_alt 'P 4/m b m'
_space_group_IT_number 127
_space_group_name_Hall '-P 4 2ab'
loop_
_atom_site_label
_atom_site_fract_x
_atom_site_fract_y
_atom_site_fract_z
Ac1 0.176 0.324 0.000
Zn1 0.121 0.621 0.500
Hg1 0.000 0.000 0.500
```

Results
- Formation energy: -1.46 eV per formula unit
- ΔE to the lowest computed polymorph: 0.026 eV/atom

---

Entry 9:
The following is a DFT calculation (PBE-GGA) of TeIr after structural relaxation.

CIF file:
```
data_TeIr
_cell_length_a 4.523
_cell_length_b 3.122
_cell_length_c 5.946
_cell_angle_alpha 90.00
_cell_angle_beta 90.00
_cell_angle_gamma 90.00
_space_group_name_H-M_alt 'P m m a'
_space_group_IT_number 51
_space_group_name_Hall '-P 2a 2a'
loop_
_atom_site_label
_atom_site_fract_x
_atom_site_fract_y
_atom_site_fract_z
Te1 0.250 0.000 0.243
Ir1 0.250 0.500 0.638
```

---

Entry 10:
The following is a DFT calculation (PBE-GGA) of BaPaTlS4 after structural relaxation.

CIF file:
```
data_BaPaTlS4
_cell_length_a 5.265
_cell_length_b 5.265
_cell_length_c 15.860
_cell_angle_alpha 90.00
_cell_angle_beta 90.00
_cell_angle_gamma 90.00
_space_group_name_H-M_alt 'I 4 m m'
_space_group_IT_number 107
_space_group_name_Hall 'I 4 -2'
loop_
_atom_site_label
_atom_site_fract_x
_atom_site_fract_y
_atom_site_fract_z
Ba1 0.000 0.000 0.000
Pa1 0.000 0.000 0.643
Tl1 0.000 0.000 0.289
S1 0.000 0.000 0.479
S2 0.000 0.000 0.804
S3 0.000 0.500 0.132
```

---

Entry 11:
The following is a DFT calculation (PBE-GGA) of Ce2PmDyAs4 after structural relaxation.

CIF file:
```
data_Ce2PmDyAs4
_cell_length_a 7.263
_cell_length_b 4.198
_cell_length_c 7.273
_cell_angle_alpha 90.00
_cell_angle_beta 109.48
_cell_angle_gamma 90.00
_space_group_name_H-M_alt 'P 1 2/m 1'
_space_group_IT_number 10
_space_group_name_Hall '-P 2y'
loop_
_atom_site_label
_atom_site_fract_x
_atom_site_fract_y
_atom_site_fract_z
Ce1 0.000 0.000 0.000
Ce2 0.000 0.500 0.500
Pm1 0.500 0.000 0.500
Dy1 0.500 0.500 0.000
As1 0.249 0.500 0.246
As2 0.252 0.000 0.754
```

Results
- Formation energy: -11.84 eV per formula unit

---

Entry 12:
The following is a DFT calculation (PBE-GGA) of CaTm2PbO6 after structural relaxation.

CIF file:
```
data_CaTm2PbO6
_cell_length_a 5.7502
_cell_length_b 5.7502
_cell_length_c 15.2257
_cell_angle_alpha 90.00
_cell_angle_beta 90.00
_cell_angle_gamma 120.00
_space_group_name_H-M_alt 'R 3'
_space_group_IT_number 146
_space_group_name_Hall 'R 3'
loop_
_atom_site_label
_atom_site_fract_x
_atom_site_fract_y
_atom_site_fract_z
Ca1 0.0000 0.0000 0.0000
Tm1 0.0000 0.0000 0.2810
Tm2 0.0000 0.0000 0.7814
Pb1 0.0000 0.0000 0.4903
O1 0.0233 0.7256 0.3861
O2 0.0297 0.3621 0.5503
```

---

Entry 13:
The following is a DFT calculation (PBE-GGA) of DyBe2AlAu4 after structural relaxation.

CIF file:
```
data_DyBe2AlAu4
_cell_length_a 4.2181
_cell_length_b 4.2181
_cell_length_c 26.8216
_cell_angle_alpha 90.00
_cell_angle_beta 90.00
_cell_angle_gamma 120.00
_space_group_name_H-M_alt 'R -3 m'
_space_group_IT_number 166
_space_group_name_Hall '-R 3 2"'
loop_
_atom_site_label
_atom_site_fract_x
_atom_site_fract_y
_atom_site_fract_z
Dy1 0.0000 0.0000 0.0000
Be1 0.0000 0.0000 0.2463
Al1 0.0000 0.0000 0.5000
Au1 0.0000 0.0000 0.1278
Au2 0.0000 0.0000 0.3994
```

Results
- Formation energy: -2.77 eV per formula unit

---

Entry 14:
The following is a DFT calculation (PBE-GGA) of La2SmHoSc after structural relaxation.

CIF file:
```
data_La2SmHoSc
_cell_length_a 8.261
_cell_length_b 11.536
_cell_length_c 7.288
_cell_angle_alpha 90.00
_cell_angle_beta 90.00
_cell_angle_gamma 90.00
_space_group_name_H-M_alt 'C m c m'
_space_group_IT_number 63
_space_group_name_Hall '-C 2c 2'
loop_
_atom_site_label
_atom_site_fract_x
_atom_site_fract_y
_atom_site_fract_z
La1 0.199 0.000 0.000
Sm1 0.000 0.230 0.250
Ho1 0.000 0.246 0.750
Sc1 0.000 0.488 0.250
```

Results
- Formation energy: 1.81 eV per formula unit

---

Entry 15:
The following is a DFT calculation (PBE-GGA) of Sr2CdGe3Pt4 after structural relaxation.

CIF file:
```
data_Sr2CdGe3Pt4
_cell_length_a 4.473
_cell_length_b 4.473
_cell_length_c 10.480
_cell_angle_alpha 90.00
_cell_angle_beta 90.00
_cell_angle_gamma 90.00
_space_group_name_H-M_alt 'P -4 m 2'
_space_group_IT_number 115
_space_group_name_Hall 'P -4 -2'
loop_
_atom_site_label
_atom_site_fract_x
_atom_site_fract_y
_atom_site_fract_z
Sr1 0.000 0.500 0.246
Cd1 0.000 0.000 0.500
Ge1 0.000 0.500 0.881
Ge2 0.500 0.500 0.500
Pt1 0.000 0.000 0.000
Pt2 0.000 0.500 0.645
Pt3 0.500 0.500 0.000
```

Results
- Formation energy: -7.43 eV per formula unit

---

Entry 16:
The following is a DFT calculation (PBE-GGA) of CdRh after structural relaxation.

CIF file:
```
data_CdRh
_cell_length_a 8.185
_cell_length_b 8.185
_cell_length_c 8.185
_cell_angle_alpha 90.00
_cell_angle_beta 90.00
_cell_angle_gamma 90.00
_space_group_name_H-M_alt 'I -4 3 m'
_space_group_IT_number 217
_space_group_name_Hall 'I -4 2 3'
loop_
_atom_site_label
_atom_site_fract_x
_atom_site_fract_y
_atom_site_fract_z
Cd1 0.201 0.201 0.799
Rh1 0.113 0.113 0.113
```

Results
- Formation energy: 1.51 eV per formula unit

---

Entry 17:
The following is a DFT calculation (PBE-GGA) of Y2AlTc2 after structural relaxation.

CIF file:
```
data_Y2AlTc2
_cell_length_a 4.505
_cell_length_b 4.505
_cell_length_c 11.655
_cell_angle_alpha 90.00
_cell_angle_beta 90.00
_cell_angle_gamma 90.00
_space_group_name_H-M_alt 'I 4/m m m'
_space_group_IT_number 139
_space_group_name_Hall '-I 4 2'
loop_
_atom_site_label
_atom_site_fract_x
_atom_site_fract_y
_atom_site_fract_z
Y1 0.000 0.500 0.250
Al1 0.000 0.000 0.000
Tc1 0.000 0.000 0.404
```

Results
- Formation energy: 3.87 eV per formula unit
- ΔE to the lowest computed polymorph: 0.951 eV/atom

---

Entry 18:
The following is a DFT calculation (PBE-GGA) of CeSm2Br8 after structural relaxation.

CIF file:
```
data_CeSm2Br8
_cell_length_a 14.143
_cell_length_b 10.605
_cell_length_c 7.026
_cell_angle_alpha 90.00
_cell_angle_beta 93.51
_cell_angle_gamma 90.00
_space_group_name_H-M_alt 'C 1 2/m 1'
_space_group_IT_number 12
_space_group_name_Hall '-C 2y'
loop_
_atom_site_label
_atom_site_fract_x
_atom_site_fract_y
_atom_site_fract_z
Ce1 0.000 0.000 0.000
Sm1 0.197 0.000 0.633
Br1 0.084 0.196 0.752
Br2 0.124 0.500 0.228
Br3 0.187 0.000 0.232
```

---

Entry 19:
The following is a DFT calculation (PBE-GGA) of Tb2PmNd2Sm2 after structural relaxation.

CIF file:
```
data_Tb2PmNd2Sm2
_cell_length_a 11.463
_cell_length_b 5.126
_cell_length_c 8.123
_cell_angle_alpha 90.00
_cell_angle_beta 98.08
_cell_angle_gamma 90.00
_space_group_name_H-M_alt 'C 1 2/m 1'
_space_group_IT_number 12
_space_group_name_Hall '-C 2y'
loop_
_atom_site_label
_atom_site_fract_x
_atom_site_fract_y
_atom_site_fract_z
Tb1 0.071 0.000 0.214
Pm1 0.000 0.500 0.500
Nd1 0.142 0.500 0.928
Sm1 0.215 0.000 0.642
```

Results
- Formation energy: 0.09 eV per formula unit

---

Entry 20:
The following is a DFT calculation (PBE-GGA) of Pa2FeReB6 after structural relaxation.

CIF file:
```
data_Pa2FeReB6
_cell_length_a 5.0945
_cell_length_b 5.0945
_cell_length_c 32.2384
_cell_angle_alpha 90.00
_cell_angle_beta 90.00
_cell_angle_gamma 120.00
_space_group_name_H-M_alt 'R -3 m'
_space_group_IT_number 166
_space_group_name_Hall '-R 3 2"'
loop_
_atom_site_label
_atom_site_fract_x
_atom_site_fract_y
_atom_site_fract_z
Pa1 0.0000 0.0000 0.1296
Pa2 0.0000 0.0000 0.2885
Fe1 0.0000 0.0000 0.0000
Fe2 0.0000 0.0000 0.5000
Re1 0.0000 0.0000 0.4188
B1 0.1019 0.5509 0.7199
B2 0.1032 0.5516 0.8729
```

Results
- Formation energy: -4.14 eV per formula unit

---

Total moment for the records above, in order: 0.0, 6.8, 0.0, 0.0, 0.0, 0.0, 27.3, 0.0, 0.0, 0.0, 1.3, 0.0, 0.0, 0.0, 0.0, 6.8, 4.7, 4.0, 0.0, 2.8 μB/cell
Raw total energy for the records above, in order: -5.1602, -4.5823, -5.0177, -7.5153, -3.3623, -4.6446, -9.7779, -2.5062, -5.5643, -5.8071, -6.4575, -7.1252, -3.9591, -4.7350, -4.9726, -3.3792, -6.7065, -4.2433, -4.6987, -8.4104 eV/atom